Record 1
K2TcHg (PBE, optimized geometry); density = 4.829 g cm⁻³; raw total energy = -2.1890 eV/atom; density of states at the Fermi level = 0.97 states/eV per atom; size of the total moment = 6.15 μB per cell
1.0
-3.9986 7.1803 -4.5003
-4.3843 -6.0113 -5.6956
-6.4757 0.4822 -3.2317
K Hg Tc
4 2 2
Direct
0.6346 0.1250 0.2500 K
0.1154 0.6250 0.2500 K
0.3750 0.3654 0.7500 K
0.8750 0.8846 0.7500 K
0.0000 0.0000 0.0000 Hg
0.7500 0.2500 0.5000 Hg
0.5000 0.5000 0.0000 Tc
0.2500 0.7500 0.5000 Tc

---

Record 2
KHgTe2 (PBE, optimized geometry); formation energy without anion corrections = -0.4669 eV per atom; density = 5.415 g cm⁻³; raw total energy = -2.3876 eV/atom; size of the total moment = 0.00 μB per cell
1.0
-1.6774 -3.5284 6.1373
1.7952 -6.1730 -3.0582
10.0591 4.6222 5.4066
K Hg Te
4 4 8
Direct
0.2495 0.0395 0.3769 K
0.7505 0.9605 0.6231 K
0.2495 0.4605 0.1231 K
0.7505 0.5395 0.8769 K
0.0928 0.5187 0.6376 Hg
0.9072 0.4813 0.3624 Hg
0.0928 0.9813 0.8624 Hg
0.9072 0.0187 0.1376 Hg
0.7257 0.0633 0.9403 Te
0.2743 0.9367 0.0597 Te
0.7257 0.4367 0.5597 Te
0.2743 0.5633 0.4403 Te
0.7374 0.5512 0.1739 Te
0.2626 0.4488 0.8261 Te
0.7374 0.9488 0.3261 Te
0.2626 0.0512 0.6739 Te

---

Record 3
KHg2Te (PBE, optimized geometry); formation energy without anion corrections = -0.2118 eV per atom; density = 7.507 g cm⁻³; raw total energy = -1.4225 eV/atom; density of states at the Fermi level = 0.23 states/eV per atom; size of the total moment = 0.00 μB per cell
1.0
3.6687 0.0000 0.0000
0.0000 3.6687 0.0000
0.0000 0.0000 9.3326
Hg K Te
2 1 1
Direct
0.0000 0.0000 0.9950 Hg
0.0000 0.0000 0.5050 Hg
0.5000 0.5000 0.2500 K
0.5000 0.5000 0.7500 Te

---

Record 4
KHg2Te (PBE, optimized geometry); formation energy without anion corrections = -0.2027 eV per atom; density = 7.233 g cm⁻³; raw total energy = -1.4133 eV/atom; density of states at the Fermi level = 0.84 states/eV per atom; size of the total moment = 0.00 μB per cell
1.0
6.8165 0.0738 0.0000
-3.7645 5.6832 0.0000
0.0000 0.0000 3.3413
Hg K Te
2 1 1
Direct
0.0000 0.0000 0.0000 Hg
0.5000 0.5000 0.0000 Hg
0.5000 0.0000 0.5000 K
0.0000 0.5000 0.5000 Te

---

Record 5
K3Hg4Te2 (PBE, optimized geometry); formation energy without anion corrections = -0.5331 eV per atom; density = 6.137 g cm⁻³; raw total energy = -1.7312 eV/atom; density of states at the Fermi level = 0.17 states/eV per atom; size of the total moment = 0.00 μB per cell
1.0
4.8729 0.0000 1.2999
1.9861 6.3934 2.3382
-0.1226 0.2545 10.2431
K Hg Te
3 4 2
Direct
0.3092 0.7500 0.6316 K
0.0000 0.0000 0.0000 K
0.6908 0.2500 0.3684 K
0.2625 0.4031 0.0719 Hg
0.7375 0.5969 0.9281 Hg
0.9811 0.3747 0.6631 Hg
0.0189 0.6253 0.3369 Hg
0.3923 0.9573 0.2581 Te
0.6077 0.0427 0.7419 Te

---

Record 6
KHg2Te2 (PBE, optimized geometry); formation energy without anion corrections = -0.3450 eV per atom; density = 6.509 g cm⁻³; raw total energy = -1.9419 eV/atom; density of states at the Fermi level = 0.26 states/eV per atom; size of the total moment = 0.00 μB per cell; distance to the lowest polymorph of the same formula = 0.000 eV per atom
1.0
-1.0352 5.9896 -0.0548
-7.3676 1.7713 -3.2507
-2.5496 2.7037 7.4115
K Hg Te
2 4 4
Direct
0.9424 0.7496 0.2501 K
0.0576 0.2504 0.7499 K
0.5831 0.7399 0.9712 Hg
0.7033 0.2392 0.4706 Hg
0.4169 0.2601 0.0288 Hg
0.2967 0.7608 0.5294 Hg
0.6186 0.4606 0.2083 Te
0.7138 0.9594 0.7086 Te
0.2862 0.0406 0.2914 Te
0.3814 0.5394 0.7917 Te

---

Record 7
K2Hg2Te (PBE, optimized geometry); formation energy without anion corrections = -0.4469 eV per atom; density = 5.559 g cm⁻³; raw total energy = -1.6350 eV/atom; density of states at the Fermi level = 0.50 states/eV per atom; size of the total moment = 0.00 μB per cell; distance to the lowest polymorph of the same formula = 0.000 eV per atom
1.0
8.6049 0.0000 0.0000
0.0000 8.6049 0.0000
0.0000 0.0000 4.8978
K Te Hg
4 2 4
Direct
0.1841 0.6841 0.5000 K
0.6841 0.8159 0.5000 K
0.8159 0.3159 0.5000 K
0.3159 0.1841 0.5000 K
0.0000 0.0000 0.0000 Te
0.5000 0.5000 0.0000 Te
0.3764 0.8764 0.0000 Hg
0.8764 0.6236 0.0000 Hg
0.6236 0.1236 0.0000 Hg
0.1236 0.3764 0.0000 Hg

---

Record 8
KHg2Te2 (PBE, optimized geometry); formation energy without anion corrections = -0.2172 eV per atom; density = 7.409 g cm⁻³; raw total energy = -1.8140 eV/atom; density of states at the Fermi level = 0.36 states/eV per atom; size of the total moment = 0.00 μB per cell; distance to the lowest polymorph of the same formula = 0.128 eV per atom
1.0
-7.9307 -3.3415 -1.8981
0.5034 -5.2187 7.0835
-1.7353 2.8541 2.2260
K Te Hg
2 4 4
Direct
0.0000 0.0000 0.0000 K
0.5000 0.5000 0.0000 K
0.3470 0.8470 0.0000 Te
0.8470 0.6530 0.0000 Te
0.6530 0.1530 0.0000 Te
0.1530 0.3470 0.0000 Te
0.1497 0.6497 0.5000 Hg
0.6497 0.8503 0.5000 Hg
0.8503 0.3503 0.5000 Hg
0.3503 0.1497 0.5000 Hg